# NaSrB2

NaSrB2 after structural relaxation (GGA-PBE, Alexandria).

Calculated volume, Å³ per atom: 17.65
Crystal system: tetragonal
M_tot, μB/cell: 0.00
E_tot, eV per atom: -2.9946
Relative energy among the computed polymorphs, meV/atom: 0
SG: No. 141
ΔE_f, eV per atom: 1.0943

a = 4.0098 Å, b = 4.0098 Å, c = 9.2260 Å
α = 77.45°, β = 77.45°, γ = 90.00°
Element x y z (fractional)
B 0.3752 0.1250 0.2500
Sr 0.7500 0.2500 0.5000
B 0.3748 0.6250 0.2500
Na 0.5000 0.5000 0.0000
B 0.3750 0.6248 0.7500
Na 0.2500 0.7500 0.5000
B 0.8750 0.6252 0.7500
Sr 0.0000 0.0000 0.0000

=====

# Na2IBr4

Na2IBr4 after structural relaxation (GGA-PBE, Alexandria).

Calculated volume, Å³ per atom: 39.04
Crystal system: tetragonal
M_tot, μB/cell: 0.00
E_tot, eV per atom: -2.2434
Relative energy among the computed polymorphs, meV/atom: 37
SG: No. 88

a = 7.9473 Å, b = 7.9473 Å, c = 10.3184 Å
α = 112.65°, β = 112.65°, γ = 90.00°
Element x y z (fractional)
Na 0.8750 0.6250 0.2500
I 0.7500 0.2500 0.5000
Br 0.4870 0.9905 0.4988
Na 0.3750 0.6250 0.2500
Br 0.2583 0.7370 0.9988
Br 0.7381 0.7417 0.0012
Br 0.2630 0.2595 0.0012
Na 0.3750 0.6250 0.7500
Br 0.7405 0.2619 0.9988
Br 0.0119 0.5083 0.4988
Br 0.0095 0.9881 0.5012
Br 0.4917 0.5130 0.5012
I 0.0000 0.0000 0.0000
Na 0.3750 0.1250 0.7500

=====

# LiSiNi

LiSiNi after structural relaxation (GGA-PBE, Alexandria).

Calculated volume, Å³ per atom: 12.72
Crystal system: orthorhombic
M_tot, μB/cell: 0.00
E_tot, eV per atom: -4.7755
SG: No. 74

a = 4.9563 Å, b = 4.8733 Å, c = 6.3203 Å
α = 90.00°, β = 90.00°, γ = 90.00°
Element x y z (fractional)
Ni 0.2500 0.2500 0.7500
Li 0.5000 0.2500 0.1202
Si 0.5000 0.5000 0.5000
Li 0.0000 0.2500 0.3798
Ni 0.2500 0.7500 0.2500
Ni 0.7500 0.2500 0.7500
Li 0.0000 0.7500 0.6202
Si 0.0000 0.0000 0.0000
Ni 0.7500 0.7500 0.2500
Li 0.5000 0.7500 0.8798
Si 0.5000 0.0000 0.5000
Si 0.0000 0.5000 0.0000

=====

# KTlBr4

KTlBr4 after structural relaxation (GGA-PBE, Alexandria).

Calculated volume, Å³ per atom: 39.21
Crystal system: orthorhombic
M_tot, μB/cell: 0.00
E_tot, eV per atom: -2.6254
SG: No. 52

a = 8.1008 Å, b = 10.7984 Å, c = 10.7573 Å
α = 90.00°, β = 90.00°, γ = 90.00°
Element x y z (fractional)
Br 0.9903 0.0395 0.3194
Br 0.5097 0.5395 0.1806
Br 0.6484 0.6905 0.5461
K 0.6811 0.2500 0.2500
Br 0.9903 0.4605 0.1806
Br 0.5097 0.9605 0.3194
Tl 0.7500 0.5000 0.6768
Br 0.1484 0.8095 0.0461
Br 0.3516 0.1905 0.0461
Br 0.4903 0.4605 0.8194
Br 0.4903 0.0395 0.6806
Tl 0.2500 0.5000 0.3232
Br 0.8516 0.3095 0.5461
Tl 0.2500 0.0000 0.1768
Br 0.6484 0.8095 0.9539
Br 0.1484 0.6905 0.4539
K 0.1811 0.2500 0.7500
K 0.3189 0.7500 0.7500
Br 0.0097 0.9605 0.6806
Br 0.0097 0.5395 0.8194
Br 0.3516 0.3095 0.4539
Tl 0.7500 0.0000 0.8232
K 0.8189 0.7500 0.2500
Br 0.8516 0.1905 0.9539

=====

# La3Dy2ErAs6

La3Dy2ErAs6 after structural relaxation (GGA-PBE, Alexandria).

Calculated volume, Å³ per atom: 26.99
Crystal system: monoclinic
M_tot, μB/cell: 0.00
E_tot, eV per atom: -6.2447
SG: No. 12
ΔE_f, eV per atom: -1.5409

a = 7.3511 Å, b = 7.3511 Å, c = 7.3404 Å
α = 99.60°, β = 99.60°, γ = 119.99°
Element x y z (fractional)
As 0.5893 0.9215 0.7643
La 0.5000 0.5000 0.5000
Dy 0.6665 0.3335 0.0000
La 0.1670 0.8330 0.5000
As 0.9215 0.5893 0.7643
As 0.2534 0.2534 0.7638
Dy 0.3335 0.6665 0.0000
As 0.0785 0.4107 0.2357
La 0.8330 0.1670 0.5000
Er 0.0000 0.0000 0.0000
As 0.4107 0.0785 0.2357
As 0.7466 0.7466 0.2362

=====

# As2RhSe

As2RhSe after structural relaxation (GGA-PBE, Alexandria).

Calculated volume, Å³ per atom: 18.73
Crystal system: orthorhombic
M_tot, μB/cell: 0.00
E_tot, eV per atom: -5.1594
SG: No. 65

a = 3.5034 Å, b = 4.9399 Å, c = 4.9403 Å
α = 61.22°, β = 90.00°, γ = 90.00°
Element x y z (fractional)
As 0.0000 0.4594 0.4594
Se 0.5000 0.7500 0.7500
As 0.0000 0.0406 0.0406
Rh 0.5000 0.2500 0.2500

=====

# SmInSn6

SmInSn6 after structural relaxation (GGA-PBE, Alexandria).

Calculated volume, Å³ per atom: 26.96
Crystal system: tetragonal
M_tot, μB/cell: 0.00
E_tot, eV per atom: -4.1403
SG: No. 123
ΔE_f, eV per atom: -0.2059

a = 4.7459 Å, b = 6.7412 Å, c = 6.7412 Å
α = 90.01°, β = 90.00°, γ = 90.00°
Element x y z (fractional)
Sn 0.0000 0.2574 0.7426
Sn 0.5000 0.0000 0.5000
Sm 0.5000 0.0000 0.0000
Sn 0.0000 0.7422 0.7422
In 0.5000 0.5000 0.5000
Sn 0.0000 0.7426 0.2574
Sn 0.5000 0.5000 0.0000
Sn 0.0000 0.2578 0.2578

=====

# Pm3Sm8Er4

Pm3Sm8Er4 after structural relaxation (GGA-PBE, Alexandria).

Calculated volume, Å³ per atom: 33.81
Crystal system: monoclinic
M_tot, μB/cell: 0.00
E_tot, eV per atom: -4.3357
SG: No. 12
ΔE_f, eV per atom: 0.3480

a = 6.8648 Å, b = 9.3089 Å, c = 9.3089 Å
α = 81.69°, β = 112.57°, γ = 112.57°
Element x y z (fractional)
Er 0.5000 0.0000 0.0000
Sm 0.5000 0.7526 0.2474
Sm 0.7935 0.7541 0.7541
Sm 0.7716 0.2962 0.2962
Pm 0.5000 0.0000 0.5000
Sm 0.5000 0.2474 0.7526
Pm 0.5000 0.5000 0.0000
Er 0.0000 0.5000 0.0000
Er 0.0000 0.0000 0.0000
Sm 0.2284 0.7038 0.7038
Sm 0.0000 0.2957 0.7043
Pm 0.5000 0.5000 0.5000
Sm 0.0000 0.7043 0.2957
Er 0.0000 0.0000 0.5000
Sm 0.2065 0.2459 0.2459